1.
DFT (PBE) results for a geometry-optimized TlCdTeO5 structure.

```
TlCdTeO5
1.0
6.5541 0.6219 0.0356
-1.3184 6.4502 0.0356
-2.1213 -2.8653 7.0053
Te O Cd Tl
2 10 2 2
direct
0.3699 0.6301 0.7500 Te
0.6301 0.3699 0.2500 Te
0.9125 0.0875 0.7500 O
0.0875 0.9125 0.2500 O
0.3255 0.3229 0.6582 O
0.3229 0.3255 0.1582 O
0.6745 0.6771 0.3418 O
0.7385 0.2557 0.4452 O
0.2615 0.7443 0.5548 O
0.2557 0.7385 0.9452 O
0.6771 0.6745 0.8418 O
0.7443 0.2615 0.0548 O
0.6929 0.3071 0.7500 Cd
0.3071 0.6929 0.2500 Cd
0.0000 0.0000 0.5000 Tl
0.0000 0.0000 0.0000 Tl
```

space-group type = C2/c
formation energy (no corrections) = -0.79 eV/atom
total energy = -4.692 eV/atom
V = 18.946 A^3/atom

***

2.
DFT (PBE) results for a geometry-optimized TlCdTeO4 structure.

```
TlCdTeO4
1.0
5.9084 0.0000 -0.7416
0.0000 6.1001 0.0000
-3.0655 0.0000 7.8309
Cd O Te Tl
2 8 2 2
direct
0.7803 0.7500 0.4674 Cd
0.2197 0.2500 0.5326 Cd
0.4076 0.7500 0.1896 O
0.9736 0.9916 0.3181 O
0.5924 0.2500 0.8104 O
0.9736 0.5084 0.3181 O
0.0264 0.4916 0.6819 O
0.0264 0.0084 0.6819 O
0.5665 0.2500 0.4732 O
0.4335 0.7500 0.5268 O
0.8354 0.2500 0.7130 Te
0.1646 0.7500 0.2870 Te
0.5602 0.2500 0.1385 Tl
0.4398 0.7500 0.8615 Tl
```

space-group type = P2_1/m
formation energy (no corrections) = -0.85 eV/atom
total energy = -4.598 eV/atom
V = 19.170 A^3/atom

***

3.
DFT (PBE) results for a geometry-optimized TlCd2TeO6 structure.

```
TlCd2TeO6
1.0
5.7581 0.0004 -0.0006
2.8794 4.9851 -0.0017
2.8784 1.6606 5.0557
O Cd Te Tl
6 2 1 1
direct
0.6761 0.1371 0.7820 O
0.5608 0.2277 0.2362 O
0.1370 0.4047 0.7822 O
0.4045 0.6761 0.7821 O
0.2280 0.9753 0.2361 O
0.9753 0.5607 0.2365 O
0.0205 0.0207 0.9382 Cd
0.5364 0.5364 0.3907 Cd
0.3215 0.3215 0.0354 Te
0.8013 0.8014 0.5957 Tl
```

space-group type = R3
formation energy (no corrections) = -0.96 eV/atom
total energy = -4.672 eV/atom
V = 14.514 A^3/atom

***

4.
DFT (PBE) results for a geometry-optimized Tl2CdTeO6 structure.

```
Tl2CdTeO6
1.0
-3.2764 -4.8492 0.4923
1.4443 -4.8375 -3.0010
2.2249 -4.7563 2.9905
O Tl Cd Te
6 2 1 1
direct
0.6823 0.1365 0.7748 O
0.4064 0.6823 0.7749 O
0.6184 0.2111 0.2479 O
0.2111 0.9226 0.2478 O
0.9227 0.6184 0.2478 O
0.1365 0.4064 0.7749 O
0.0227 0.0227 0.9319 Tl
0.5382 0.5381 0.3856 Tl
0.8050 0.8050 0.5850 Cd
0.3184 0.3185 0.0447 Te
```

space-group type = R3
formation energy (no corrections) = -0.81 eV/atom
total energy = -4.667 eV/atom
V = 14.940 A^3/atom

***

5.
DFT (PBE) results for a geometry-optimized Tl3Cd2TeO6 structure.

```
Tl3Cd2TeO6
1.0
-2.2872 4.6691 -2.6451
-2.3707 -1.9911 4.9440
5.8894 3.1223 2.8049
Cd O Tl Te
2 6 3 1
direct
0.6664 0.3336 0.0000 Cd
0.3336 0.6664 0.0000 Cd
0.6565 0.9394 0.8406 O
0.9394 0.6565 0.8406 O
0.7798 0.7798 0.1642 O
0.0606 0.3435 0.1594 O
0.3435 0.0606 0.1594 O
0.2202 0.2202 0.8358 O
0.5000 0.5000 0.5000 Tl
0.8357 0.1643 0.5000 Tl
0.1643 0.8357 0.5000 Tl
0.0000 0.0000 0.0000 Te
```

space-group type = C2/m
formation energy (no corrections) = -0.88 eV/atom
total energy = -4.367 eV/atom
V = 16.970 A^3/atom

***

6.
DFT (PBE) results for a geometry-optimized Tl2Cd2TeO6 structure.

```
Tl2Cd2TeO6
1.0
5.7996 0.0073 0.0863
-2.8602 5.0453 0.0863
-1.0124 -1.7401 6.4449
Te O Tl Cd
1 6 2 2
direct
0.0000 0.0000 0.5000 Te
0.7813 0.7813 0.6813 O
0.2187 0.2187 0.3187 O
0.6600 0.9438 0.3344 O
0.0562 0.3400 0.6656 O
0.3400 0.0562 0.6656 O
0.9438 0.6600 0.3344 O
0.8281 0.1719 0.0000 Tl
0.1719 0.8281 0.0000 Tl
0.3360 0.6640 0.5000 Cd
0.6640 0.3360 0.5000 Cd
```

space-group type = C2/m
formation energy (no corrections) = -0.99 eV/atom
total energy = -4.573 eV/atom
V = 17.314 A^3/atom

***

7.
DFT (PBE) results for a geometry-optimized TmCdTe2O8 structure.

```
TmCdTe2O8
1.0
6.1888 0.1319 0.0000
-2.6266 5.6053 0.0000
-1.7811 -2.8686 5.1882
Te O Cd Tm
2 8 1 1
direct
0.5000 0.5000 0.0000 Te
0.7500 0.2500 0.5000 Te
0.3704 0.0537 0.3167 O
0.4918 0.6853 0.8065 O
0.9463 0.6296 0.6833 O
0.3147 0.5082 0.1935 O
0.3147 0.1212 0.8065 O
0.7370 0.0537 0.6833 O
0.9463 0.2630 0.3167 O
0.8788 0.6853 0.1935 O
0.0000 0.0000 0.0000 Cd
0.2500 0.7500 0.5000 Tm
```

space-group type = I-4m2
formation energy (no corrections) = -1.40 eV/atom
total energy = -5.681 eV/atom
V = 15.148 A^3/atom

***

8.
DFT (PBE) results for a geometry-optimized TmCd2TeO6 structure.

```
TmCd2TeO6
1.0
4.7105 0.0000 0.0000
0.0000 5.6724 0.0000
0.0000 0.0000 5.6724
O Cd Te Tm
6 2 1 1
direct
0.7192 0.7653 0.7653 O
0.7192 0.2347 0.7653 O
0.2014 0.0000 0.0000 O
0.7192 0.2347 0.2347 O
0.7192 0.7653 0.2347 O
0.1505 0.5000 0.5000 O
0.0108 0.0000 0.5000 Cd
0.0108 0.5000 0.0000 Cd
0.6023 0.0000 0.0000 Te
0.5944 0.5000 0.5000 Tm
```

space-group type = P4mm
formation energy (no corrections) = -1.43 eV/atom
total energy = -5.350 eV/atom
V = 15.157 A^3/atom